BaCa3V4O12: relaxed, PBE with a Hubbard U.

Unit cell a=11.7536 b=11.7536 c=8.5716 alpha=90.00 beta=90.00 gamma=120.00
Space group R32 (No. 155, hexagonal axes)
Symmetry-distinct sites (fractional):
Ba 0.0000 0.0000 0.0000 [3 per cell]
Ca 0.0000 0.5549 0.0000 [9 per cell]
V 0.0000 0.0000 0.5000 [3 per cell]
V 0.0000 0.4461 0.5000 [9 per cell]
O 0.0000 0.5937 0.5000 [9 per cell]
O 0.0000 0.8518 0.5000 [9 per cell]
O 0.0329 0.2147 0.1771 [18 per cell]

## Properties
Magnetization ... 12.00 Bohr magnetons per cell
Uncorrected energy ... -7.13 eV/atom